Below is a geometry-optimized K2NiPt structure, with properties calculated at the PBE-GGA level.

Output
* space-group type: I-42d (122)
* ΔH_f (0 K): 1.49 eV/f.u.
* distance to the lowest polymorph of the same formula: 275.3 meV per atom

a b c (Å): 12.035 12.035 8.820
angles (deg): 46.98 46.98 90.00
Fractional positions:
Ni: 0.500 0.500 0.000
Ni: 0.250 0.750 0.500
K: 0.391 0.125 0.250
K: 0.359 0.625 0.250
K: 0.375 0.609 0.750
K: 0.875 0.641 0.750
Pt: 0.000 0.000 0.000
Pt: 0.750 0.250 0.500

---

Below is a geometry-optimized PmTl3Tc2O9 structure, with properties calculated at the PBE-GGA level.

Output
* space-group type: P-3m1 (164)
* formation energy (no corrections): -2122.9 kJ/mol of formula units

a b c (Å): 5.862 5.862 7.309
angles (deg): 90.00 90.00 120.00
Fractional positions:
Pm: 0.000 0.000 0.500
Tl: 0.333 0.667 0.676
Tl: 0.000 0.000 0.000
Tl: 0.667 0.333 0.324
Tc: 0.333 0.667 0.156
Tc: 0.667 0.333 0.844
O: 0.819 0.181 0.698
O: 0.819 0.638 0.698
O: 0.362 0.181 0.698
O: 0.638 0.819 0.302
O: 0.181 0.362 0.302
O: 0.181 0.819 0.302
O: 0.500 0.000 0.000
O: 0.000 0.500 0.000
O: 0.500 0.500 0.000

---

Below is a geometry-optimized CsMgVBi2 structure, with properties calculated at the PBE-GGA level.

Output
* space-group type: P4/mmm (123)
* ΔH_f (0 K): 2.17 eV/f.u.

a b c (Å): 5.372 6.793 5.372
angles (deg): 90.00 90.00 90.00
Last column: magnetic moment on the atom in μB.
Fractional positions:
Cs: 0.000 0.500 0.000  0.03
Mg: 0.500 0.500 0.500  -0.01
Bi: 0.000 0.000 0.500  -0.11
Bi: 0.500 0.000 0.000  -0.23
V: 0.000 0.000 0.000  2.06

---

Below is a geometry-optimized Co2Tc2Au structure, with properties calculated at the PBE-GGA level.

Output
* space-group type: P4/mbm (127)
* ΔH_f (0 K): 1.01 eV/f.u.
* distance to the lowest polymorph of the same formula: 0.0 meV per atom

a b c (Å): 7.185 7.185 2.652
angles (deg): 90.00 90.00 90.00
Last column: magnetic moment on the atom in μB.
Fractional positions:
Co: 0.381 0.881 0.000  0.35
Co: 0.881 0.619 0.000  0.32
Co: 0.619 0.119 0.000  0.35
Co: 0.119 0.381 0.000  0.32
Au: 0.000 0.000 0.000  0.01
Au: 0.500 0.500 0.000  0.01
Tc: 0.172 0.672 0.500  0.06
Tc: 0.672 0.828 0.500  0.06
Tc: 0.828 0.328 0.500  0.06
Tc: 0.328 0.172 0.500  0.06

---

Below is a geometry-optimized Pm3ThCl structure, with properties calculated at the PBE-GGA level.

Output
* space-group type: Pm-3m (221)
* formation energy (no corrections): -198.8 kJ/mol of formula units

a b c (Å): 5.420 5.420 5.420
angles (deg): 90.00 90.00 90.00
Fractional positions:
Cl: 0.000 0.000 0.000
Th: 0.500 0.500 0.500
Pm: 0.000 0.500 0.000
Pm: 0.000 0.000 0.500
Pm: 0.500 0.000 0.000

---

Below is a geometry-optimized IrBr3O structure, with properties calculated at the PBE-GGA level.

Output
* space-group type: Pm-3m (221)
* formation energy (no corrections): 458.4 kJ/mol of formula units
* distance to the lowest polymorph of the same formula: 0.0 meV per atom

a b c (Å): 5.009 5.009 5.009
angles (deg): 90.00 90.00 90.00
Fractional positions:
Ir: 0.000 0.000 0.000
O: 0.500 0.500 0.500
Br: 0.000 0.500 0.000
Br: 0.000 0.000 0.500
Br: 0.500 0.000 0.000

---

| no. | density (Mg/m³) | V (Å³/cell) | size of the total moment (μB per cell) |
| --- | --- | --- | --- |
| 1 | 3.3 | 336 | 0.00 |
| 2 | 8.4 | 217 | 0.00 |
| 3 | 5.3 | 196 | 1.99 |
| 4 | 12.4 | 137 | 1.60 |
| 5 | 7.3 | 159 | 0.00 |
| 6 | 5.9 | 126 | 0.00 |